A geometry-optimized LiYAu structure, computed with GGA-PBE.

Values from the calculation:
Formation energy   -0.539 eV per atom

Structure (CIF):
```
data_LiYAu
_chemical_formula_sum 'Li2 Y2 Au2'
_space_group_name_H-M_alt 'I 4 m m'
_space_group_IT_number 107
_space_group_name_Hall 'I 4 -2'
_cell_length_a 3.708
_cell_length_b 3.708
_cell_length_c 9.210
_cell_angle_alpha 90.00
_cell_angle_beta 90.00
_cell_angle_gamma 90.00
loop_
_atom_site_label
_atom_site_fract_x
_atom_site_fract_y
_atom_site_fract_z
_atom_site_occupancy
Li1 0.000 0.000 0.000 1
Y1 0.000 0.000 0.309 1
Au1 0.000 0.000 0.648 1
```

---

A geometry-optimized H2OsCl5 structure, computed with GGA-PBE.

Values from the calculation:
Uncorrected energy   -3.3373 eV/atom

Structure (CIF):
```
data_H2OsCl5
_chemical_formula_sum 'H8 Os4 Cl20'
_space_group_name_H-M_alt 'C m c m'
_space_group_IT_number 63
_space_group_name_Hall '-C 2c 2'
_cell_length_a 4.600
_cell_length_b 12.645
_cell_length_c 12.712
_cell_angle_alpha 90.00
_cell_angle_beta 90.00
_cell_angle_gamma 90.00
loop_
_atom_site_label
_atom_site_fract_x
_atom_site_fract_y
_atom_site_fract_z
_atom_site_occupancy
H1 0.000 0.173 0.167 1
Os1 0.000 0.213 0.750 1
Cl1 0.000 0.084 0.621 1
Cl2 0.000 0.251 0.250 1
Cl3 0.000 0.345 0.620 1
```